Entry 1:
Below is MgGa2B after structural relaxation, with properties calculated at the PBE level.

It has space group Fm-3m (No. 225), with a = 6.367 Å, b = 6.367 Å, c = 6.367 Å, α = 90.00°, β = 90.00° and γ = 90.00°. The asymmetric unit holds Mg at (0.000, 0.000, 0.000), Ga at (0.250, 0.250, 0.250) and B at (0.000, 0.000, 0.500).

As for the formation energy: 0.72 eV/atom. The energy relative to the lowest polymorph listed for this composition is 280 meV/atom. The calculation puts the density of states at the Fermi level at 11.673 states/eV per cell. The calculation puts the total magnetic moment at 0.0 μB/f.u.

Entry 2:
Below is Mg2GaB after structural relaxation, with properties calculated at the PBE level.

It has space group Fm-3m (No. 225), with a = 6.318 Å, b = 6.318 Å, c = 6.318 Å, α = 90.00°, β = 90.00° and γ = 90.00°. The asymmetric unit holds Mg at (0.250, 0.250, 0.250), Ga at (0.000, 0.000, 0.000) and B at (0.000, 0.000, 0.500).

As for the formation energy: 0.47 eV/atom. The energy relative to the lowest polymorph listed for this composition is 0 meV/atom. The calculation puts the density of states at the Fermi level at 0.627 states/eV per cell. The calculation puts the total magnetic moment at 0.0 μB/f.u.

Entry 3:
Below is Mg14GaB after structural relaxation, with properties calculated at the PBE level.

It has space group Amm2 (No. 38), with a = 9.758 Å, b = 6.410 Å, c = 10.875 Å, α = 90.00°, β = 90.00° and γ = 90.00°. The asymmetric unit holds Mg at (0.000, 0.000, 0.000), Mg at (0.000, 0.000, 0.498), Mg at (0.000, 0.250, 0.240), Mg at (0.248, 0.000, 0.831), Mg at (0.252, 0.000, 0.329), Mg at (0.293, 0.233, 0.573), Mg at (0.500, 0.244, 0.285), Ga at (0.500, 0.000, 0.000) and B at (0.500, 0.000, 0.468).

As for the formation energy: 0.14 eV/atom. The energy relative to the lowest polymorph listed for this composition is 0 meV/atom. The calculation puts the density of states at the Fermi level at 13.830 states/eV per cell. The calculation puts the total magnetic moment at 0.0 μB/f.u.

Please write out number 2 again, unchanged.
Below is Mg2GaB after structural relaxation, with properties calculated at the PBE level.

It has space group Fm-3m (No. 225), with a = 6.318 Å, b = 6.318 Å, c = 6.318 Å, α = 90.00°, β = 90.00° and γ = 90.00°. The asymmetric unit holds Mg at (0.250, 0.250, 0.250), Ga at (0.000, 0.000, 0.000) and B at (0.000, 0.000, 0.500).

As for the formation energy: 0.47 eV/atom. The energy relative to the lowest polymorph listed for this composition is 0 meV/atom. The calculation puts the density of states at the Fermi level at 0.627 states/eV per cell. The calculation puts the total magnetic moment at 0.0 μB/f.u.

Repeat the third record exactly.
Below is Mg14GaB after structural relaxation, with properties calculated at the PBE level.

It has space group Amm2 (No. 38), with a = 9.758 Å, b = 6.410 Å, c = 10.875 Å, α = 90.00°, β = 90.00° and γ = 90.00°. The asymmetric unit holds Mg at (0.000, 0.000, 0.000), Mg at (0.000, 0.000, 0.498), Mg at (0.000, 0.250, 0.240), Mg at (0.248, 0.000, 0.831), Mg at (0.252, 0.000, 0.329), Mg at (0.293, 0.233, 0.573), Mg at (0.500, 0.244, 0.285), Ga at (0.500, 0.000, 0.000) and B at (0.500, 0.000, 0.468).

As for the formation energy: 0.14 eV/atom. The energy relative to the lowest polymorph listed for this composition is 0 meV/atom. The calculation puts the density of states at the Fermi level at 13.830 states/eV per cell. The calculation puts the total magnetic moment at 0.0 μB/f.u.

Please write out number 3 again, unchanged.
Below is Mg14GaB after structural relaxation, with properties calculated at the PBE level.

It has space group Amm2 (No. 38), with a = 9.758 Å, b = 6.410 Å, c = 10.875 Å, α = 90.00°, β = 90.00° and γ = 90.00°. The asymmetric unit holds Mg at (0.000, 0.000, 0.000), Mg at (0.000, 0.000, 0.498), Mg at (0.000, 0.250, 0.240), Mg at (0.248, 0.000, 0.831), Mg at (0.252, 0.000, 0.329), Mg at (0.293, 0.233, 0.573), Mg at (0.500, 0.244, 0.285), Ga at (0.500, 0.000, 0.000) and B at (0.500, 0.000, 0.468).

As for the formation energy: 0.14 eV/atom. The energy relative to the lowest polymorph listed for this composition is 0 meV/atom. The calculation puts the density of states at the Fermi level at 13.830 states/eV per cell. The calculation puts the total magnetic moment at 0.0 μB/f.u.

Which value of energy relative to the lowest polymorph listed for this composition does entry 2 give?
0 meV/atom